Here is a geometry-optimized BaHfMo3 structure from Alexandria. Energies are from PBE.

Calculated values
Total magnetization: 3.67 μB/cell
Density of states at the Fermi level: 1.3604 states/eV/atom
Formation energy: 1.6915 eV per atom
Calculated total energy: -35.912 eV/cell

```
data_BaHfMo3
_space_group_name_H-M_alt 'P m -3 m'
_space_group_IT_number 221
_space_group_name_Hall '-P 4 2 3'
_cell_length_a 5.055
_cell_length_b 5.055
_cell_length_c 5.055
_cell_angle_alpha 90.00
_cell_angle_beta 90.00
_cell_angle_gamma 90.00
loop_
_atom_site_label
_atom_site_fract_x
_atom_site_fract_y
_atom_site_fract_z
Ba1 0.000 0.000 0.000
Hf1 0.500 0.500 0.500
Mo1 0.000 0.500 0.500
```